Entry 1:
Below is a relaxed structure of La2MgZr2O8, with properties calculated at the PBE level.

Cell and atoms, written as POSCAR:
```
La2MgZr2O8
1.0
0.804 -2.158 6.327
5.323 3.100 2.719
-5.387 2.401 -3.249
La Mg Zr O
2 1 2 8
Cartesian
-2.292 0.121 1.539
-0.032 2.750 -0.265
3.063 0.471 4.523
4.780 0.735 7.058
1.346 0.207 1.988
1.150 -0.943 4.223
2.725 2.005 6.335
3.370 1.638 2.451
-0.379 1.585 1.835
4.976 1.886 4.823
1.119 1.758 3.963
2.757 -0.696 6.595
-1.986 1.338 -0.537
```

**Raw formation energy**: -2809 meV/atom

Entry 2:
Below is a relaxed structure of La2MgOs, with properties calculated at the PBE level.

Cell and atoms, written as POSCAR:
```
La2MgOs
1.0
-1.209 -2.081 -2.459
-0.129 -2.593 2.258
-8.555 2.354 2.213
La Mg Os
2 1 1
Cartesian
-7.801 2.147 2.018
-3.197 -1.641 0.554
-4.872 1.341 1.260
-6.854 -0.635 1.500
```

Entry 3:
Below is a relaxed structure of LaMg2Os2, with properties calculated at the PBE level.

Cell and atoms, written as POSCAR:
```
LaMg2Os2
1.0
-3.105 0.990 -2.921
-0.261 -4.215 -1.151
-5.629 -2.437 1.879
Mg Os La
2 2 1
Cartesian
-5.209 -1.529 -1.539
-3.787 -4.132 -0.654
-2.504 -1.784 -1.222
-6.492 -3.878 -0.971
0.000 0.000 0.000
```

Entry 4:
Below is a relaxed structure of La2MgOs, with properties calculated at the PBE level.

Cell and atoms, written as POSCAR:
```
La2MgOs
1.0
-8.071 2.838 -0.095
-0.595 -1.409 8.418
-3.320 3.614 4.718
Mg Os La
2 2 4
Cartesian
-4.333 0.715 4.162
-4.123 1.459 8.649
0.000 0.000 0.000
-7.861 3.583 4.393
-6.503 2.696 2.166
-1.655 0.182 6.435
-5.698 3.343 6.081
-10.113 3.864 11.400
```

Taking the records one at a time from the top gives mass density values of 6.1, 7.6, 8.8, 7.2 g/cm³.
Taking the records one at a time from the top gives magnetization values of 0.000, 0.000, 0.000, 0.000 Bohr magnetons per cell.
Taking the records one at a time from the top gives electronic total energy values of -8.06, -5.52, -5.96, -5.50 eV/atom.